# Ca5V3ClO12, optimized geometry, DFT PBE+U
data_Ca5V3ClO12
_chemical_formula_sum 'Ca10 V6 Cl2 O24'
_space_group_name_H-M_alt 'P 63/m'
_space_group_IT_number 176
_space_group_name_Hall '-P 6c'
_cell_length_a 10.3930
_cell_length_b 10.3930
_cell_length_c 6.7062
_cell_angle_alpha 90.00
_cell_angle_beta 90.00
_cell_angle_gamma 120.00
loop_
_atom_site_label
_atom_site_type_symbol
_atom_site_fract_x
_atom_site_fract_y
_atom_site_fract_z
_atom_site_occupancy
Ca1 Ca 0.0404 0.2733 0.2500 1
Ca2 Ca 0.3333 0.6667 0.5042 1
V1 V 0.0293 0.6144 0.2500 1
Cl1 Cl 0.0000 0.0000 0.0000 1
O1 O 0.0829 0.7344 0.0469 1
O2 O 0.1439 0.5331 0.2500 1
O3 O 0.1562 0.5183 0.7500 1
# DFT total energy	-7.07	eV per atom